Record 1
Dy8ZnCu2 | Alexandria via LeMat-Bulk | GGA-PBE | relaxed; E_form = 0.3 kJ/mol of atoms; VASP energy = -46.25 eV/f.u.; calculated volume = 26.96 Å³/atom
1.0
5.3362 0.0300 -0.9122
-1.8748 7.0731 -3.1755
0.0720 -0.2798 7.9714
Dy Cu Zn
8 2 1
Direct
0.1896 0.3890 0.3890 Dy
0.5922 0.3385 0.0888 Dy
0.9966 0.7726 0.2303 Dy
0.8056 0.6200 0.6200 Dy
0.9966 0.2303 0.7726 Dy
0.3963 0.6669 0.9165 Dy
0.3963 0.9165 0.6669 Dy
0.5922 0.0888 0.3385 Dy
0.4983 0.6987 0.3092 Cu
0.4983 0.3092 0.6987 Cu
0.0376 0.0034 0.0034 Zn

---

Record 2
Fe8Se | Alexandria via LeMat-Bulk | GGA-PBE | relaxed; energy relative to the elements, uncorrected = 1.71 eV per formula unit; VASP energy = -69.48 eV/f.u.; calculated volume = 11.43 Å³/atom
1.0
-3.8006 3.8006 1.7808
3.8006 -3.8006 1.7808
3.8006 3.8006 -1.7808
Se Fe
1 8
Direct
0.0000 0.0000 0.0000 Se
0.3231 0.6769 0.0000 Fe
0.3434 0.0000 0.3434 Fe
0.0000 0.6566 0.6566 Fe
0.3231 0.3231 0.6463 Fe
0.6566 0.0000 0.6566 Fe
0.0000 0.3434 0.3434 Fe
0.6769 0.3231 0.0000 Fe
0.6769 0.6769 0.3537 Fe

---

Record 3
TlOsN2O | Alexandria via LeMat-Bulk | GGA-PBE | relaxed; energy relative to the elements, uncorrected = 1.90 eV per formula unit; VASP energy = -33.31 eV/f.u.; calculated volume = 12.60 Å³/atom
1.0
3.9076 0.0000 0.0000
0.0000 3.9076 0.0000
0.0000 0.0000 4.1270
Os Tl N O
1 1 2 1
Direct
0.0000 0.0000 0.0000 Os
0.5000 0.5000 0.5000 Tl
0.0000 0.5000 0.0000 N
0.5000 0.0000 0.0000 N
0.0000 0.0000 0.5000 O

---

Record 4
LiEuPd2 | Alexandria via LeMat-Bulk | GGA-PBE | relaxed; E_form = -47.7 kJ/mol of atoms; VASP energy = -24.55 eV/f.u.; calculated volume = 18.82 Å³/atom
1.0
3.9587 0.0000 0.0000
0.0000 4.3605 0.0000
0.0000 0.0000 4.3605
Li Pd Eu
1 2 1
Direct
0.5000 0.5000 0.5000 Li
0.0000 0.0000 0.5000 Pd
0.0000 0.5000 0.0000 Pd
0.5000 0.0000 0.0000 Eu